Version 1
A plane-wave DFT calculation with PBE-GGA was carried out for crystalline In5SnHg2 at its relaxed geometry.

space-group type = I4/mcm (140)
spin magnetization = 0.00 μB/f.u.
N(E_F) = 0.4629 states/eV per atom

Structure (CIF):
```
data_In5SnHg2
_cell_length_a 8.669
_cell_length_b 8.669
_cell_length_c 8.669
_cell_angle_alpha 123.44
_cell_angle_beta 123.44
_cell_angle_gamma 84.14
_space_group_name_H-M_alt 'P 1'
_space_group_IT_number 1
loop_
_space_group_symop_operation_xyz
'x,y,z'
loop_
_atom_site_label
_atom_site_type_symbol
_atom_site_fract_x
_atom_site_fract_y
_atom_site_fract_z
In1 In 0.000 0.000 0.000
In2 In 0.011 0.511 0.200
In3 In 0.189 0.989 0.500
In4 In 0.311 0.811 0.800
In5 In 0.489 0.689 0.500
In6 In 0.500 0.500 0.000
In7 In 0.511 0.311 0.500
In8 In 0.689 0.189 0.200
In9 In 0.811 0.011 0.500
In10 In 0.989 0.489 0.800
Sn1 Sn 0.250 0.250 0.000
Sn2 Sn 0.750 0.750 0.000
Hg1 Hg 0.148 0.352 0.500
Hg2 Hg 0.352 0.852 0.203
Hg3 Hg 0.648 0.148 0.797
Hg4 Hg 0.852 0.648 0.500
```



Version 2
A plane-wave DFT calculation with PBE-GGA was carried out for crystalline In5SnHg2 at its relaxed geometry.

space-group type = Pbam (55)
spin magnetization = 0.00 μB/f.u.
N(E_F) = 0.4038 states/eV per atom

Structure (CIF):
```
data_In5SnHg2
_cell_length_a 6.579
_cell_length_b 12.117
_cell_length_c 5.433
_cell_angle_alpha 90.00
_cell_angle_beta 90.00
_cell_angle_gamma 90.00
_space_group_name_H-M_alt 'P 1'
_space_group_IT_number 1
loop_
_space_group_symop_operation_xyz
'x,y,z'
loop_
_atom_site_label
_atom_site_type_symbol
_atom_site_fract_x
_atom_site_fract_y
_atom_site_fract_z
In1 In 0.000 0.000 0.000
In2 In 0.158 0.387 0.500
In3 In 0.194 0.747 0.000
In4 In 0.306 0.247 0.000
In5 In 0.342 0.887 0.500
In6 In 0.500 0.500 0.000
In7 In 0.658 0.113 0.500
In8 In 0.694 0.753 0.000
In9 In 0.806 0.253 0.000
In10 In 0.842 0.613 0.500
Sn1 Sn 0.000 0.500 0.000
Sn2 Sn 0.500 0.000 0.000
Hg1 Hg 0.143 0.130 0.500
Hg2 Hg 0.357 0.630 0.500
Hg3 Hg 0.643 0.370 0.500
Hg4 Hg 0.857 0.870 0.500
```



Relative to the most stable structure, the computed energies are version 1 0.8; version 2 0.0, all in kJ/mol of atoms.



Version 1
A plane-wave DFT calculation with PBE-GGA was carried out for crystalline In2SnHg5 at its relaxed geometry.

space-group type = Cm (8)
spin magnetization = 0.00 μB/f.u.
N(E_F) = 0.2941 states/eV per atom

Structure (CIF):
```
data_In2SnHg5
_cell_length_a 6.496
_cell_length_b 6.496
_cell_length_c 7.151
_cell_angle_alpha 122.81
_cell_angle_beta 122.81
_cell_angle_gamma 66.51
_space_group_name_H-M_alt 'P 1'
_space_group_IT_number 1
loop_
_space_group_symop_operation_xyz
'x,y,z'
loop_
_atom_site_label
_atom_site_type_symbol
_atom_site_fract_x
_atom_site_fract_y
_atom_site_fract_z
In1 In 0.000 0.000 0.000
In2 In 0.500 0.500 0.498
Sn1 Sn 0.996 0.996 0.495
Hg1 Hg 0.001 0.498 0.997
Hg2 Hg 0.004 0.498 0.504
Hg3 Hg 0.498 0.001 0.997
Hg4 Hg 0.498 0.004 0.504
Hg5 Hg 0.506 0.506 0.007
```



Version 2
A plane-wave DFT calculation with PBE-GGA was carried out for crystalline In2SnHg5 at its relaxed geometry.

space-group type = P1 (1)
spin magnetization = 0.00 μB/f.u.
N(E_F) = 0.3126 states/eV per atom

Structure (CIF):
```
data_In2SnHg5
_cell_length_a 6.305
_cell_length_b 6.478
_cell_length_c 6.593
_cell_angle_alpha 114.29
_cell_angle_beta 113.74
_cell_angle_gamma 96.52
_space_group_name_H-M_alt 'P 1'
_space_group_IT_number 1
loop_
_space_group_symop_operation_xyz
'x,y,z'
loop_
_atom_site_label
_atom_site_type_symbol
_atom_site_fract_x
_atom_site_fract_y
_atom_site_fract_z
In1 In 0.000 0.000 0.000
In2 In 0.499 0.500 0.000
Sn1 Sn 0.500 0.000 0.000
Hg1 Hg 0.000 0.000 0.500
Hg2 Hg 0.499 0.500 0.500
Hg3 Hg 0.500 0.000 0.500
Hg4 Hg 0.999 0.500 0.000
Hg5 Hg 0.999 0.500 0.500
```



Relative to the most stable structure, the computed energies are version 1 0.0; version 2 0.6, all in kJ/mol of atoms.



Version 1
A plane-wave DFT calculation with PBE-GGA was carried out for crystalline In7Sn4Hg at its relaxed geometry.

space-group type = P-3m1 (164)
spin magnetization = 0.00 μB/f.u.
N(E_F) = 0.4342 states/eV per atom

Structure (CIF):
```
data_In7Sn4Hg
_cell_length_a 3.406
_cell_length_b 3.406
_cell_length_c 32.473
_cell_angle_alpha 90.00
_cell_angle_beta 90.00
_cell_angle_gamma 120.00
_space_group_name_H-M_alt 'P 1'
_space_group_IT_number 1
loop_
_space_group_symop_operation_xyz
'x,y,z'
loop_
_atom_site_label
_atom_site_type_symbol
_atom_site_fract_x
_atom_site_fract_y
_atom_site_fract_z
In1 In 0.000 0.000 0.000
In2 In 0.000 0.000 0.252
In3 In 0.000 0.000 0.748
In4 In 0.333 0.667 0.168
In5 In 0.333 0.667 0.420
In6 In 0.667 0.333 0.580
In7 In 0.667 0.333 0.832
Sn1 Sn 0.333 0.667 0.664
Sn2 Sn 0.333 0.667 0.916
Sn3 Sn 0.667 0.333 0.084
Sn4 Sn 0.667 0.333 0.336
Hg1 Hg 0.000 0.000 0.500
```



Version 2
A plane-wave DFT calculation with PBE-GGA was carried out for crystalline In7Sn4Hg at its relaxed geometry.

space-group type = C2/m (12)
spin magnetization = 0.00 μB/f.u.
N(E_F) = 0.5214 states/eV per atom

Structure (CIF):
```
data_In7Sn4Hg
_cell_length_a 7.124
_cell_length_b 7.124
_cell_length_c 9.715
_cell_angle_alpha 116.47
_cell_angle_beta 116.47
_cell_angle_gamma 51.24
_space_group_name_H-M_alt 'P 1'
_space_group_IT_number 1
loop_
_space_group_symop_operation_xyz
'x,y,z'
loop_
_atom_site_label
_atom_site_type_symbol
_atom_site_fract_x
_atom_site_fract_y
_atom_site_fract_z
In1 In 0.000 0.000 0.000
In2 In 0.249 0.249 0.997
In3 In 0.251 0.251 0.668
In4 In 0.500 0.500 0.332
In5 In 0.500 0.500 0.668
In6 In 0.749 0.749 0.332
In7 In 0.751 0.751 0.003
Sn1 Sn 0.001 0.001 0.665
Sn2 Sn 0.246 0.246 0.333
Sn3 Sn 0.754 0.754 0.667
Sn4 Sn 0.999 0.999 0.335
Hg1 Hg 0.500 0.500 0.000
```



Relative to the most stable structure, the computed energies are version 1 0.0; version 2 1.7, all in kJ/mol of atoms.



Version 1
A plane-wave DFT calculation with PBE-GGA was carried out for crystalline In2SnHg4 at its relaxed geometry.

space-group type = P1 (1)
spin magnetization = 0.00 μB/f.u.
N(E_F) = 0.3826 states/eV per atom

Structure (CIF):
```
data_In2SnHg4
_cell_length_a 7.184
_cell_length_b 7.502
_cell_length_c 7.709
_cell_angle_alpha 102.74
_cell_angle_beta 93.62
_cell_angle_gamma 110.90
_space_group_name_H-M_alt 'P 1'
_space_group_IT_number 1
loop_
_space_group_symop_operation_xyz
'x,y,z'
loop_
_atom_site_label
_atom_site_type_symbol
_atom_site_fract_x
_atom_site_fract_y
_atom_site_fract_z
In1 In 0.000 0.000 0.000
In2 In 0.077 0.295 0.461
In3 In 0.514 0.026 0.023
In4 In 0.901 0.454 0.155
Sn1 Sn 0.490 0.701 0.591
Sn2 Sn 0.588 0.311 0.449
Hg1 Hg 0.183 0.590 0.873
Hg2 Hg 0.240 0.875 0.307
Hg3 Hg 0.302 0.146 0.724
Hg4 Hg 0.356 0.417 0.156
Hg5 Hg 0.662 0.574 0.897
Hg6 Hg 0.723 0.870 0.300
Hg7 Hg 0.787 0.160 0.735
Hg8 Hg 0.964 0.720 0.586
```



Version 2
A plane-wave DFT calculation with PBE-GGA was carried out for crystalline In2SnHg4 at its relaxed geometry.

space-group type = I4/mmm (139)
spin magnetization = 0.00 μB/f.u.
N(E_F) = 0.6381 states/eV per atom

Structure (CIF):
```
data_In2SnHg4
_cell_length_a 8.537
_cell_length_b 8.537
_cell_length_c 8.537
_cell_angle_alpha 141.11
_cell_angle_beta 141.11
_cell_angle_gamma 56.18
_space_group_name_H-M_alt 'P 1'
_space_group_IT_number 1
loop_
_space_group_symop_operation_xyz
'x,y,z'
loop_
_atom_site_label
_atom_site_type_symbol
_atom_site_fract_x
_atom_site_fract_y
_atom_site_fract_z
In1 In 0.201 0.201 0.000
In2 In 0.799 0.799 0.000
Sn1 Sn 0.000 0.000 0.000
Hg1 Hg 0.000 0.500 0.500
Hg2 Hg 0.395 0.395 0.000
Hg3 Hg 0.500 0.000 0.500
Hg4 Hg 0.605 0.605 0.000
```



Relative to the most stable structure, the computed energies are version 1 0.0; version 2 18.0, all in kJ/mol of atoms.